The following is a DFT calculation (SCAN) of a crystal of ZnSiHg2 relaxed with PBEsol.

Computed properties:
Formation energy from raw total energies, meV/atom: 360
ΔE to the lowest computed polymorph, eV per formula unit: 0.08
Crystal system: trigonal

Lattice parameters (Å, degrees): 3.3091 3.3091 24.1901 90.00 90.00 120.00
Space group R-3m (No. 166, hexagonal axes)
Inequivalent atoms, fractional coordinates:
1 Zn 0.0000 0.0000 0.0000 [3 per cell]
2 Si 0.0000 0.0000 0.5000 [3 per cell]
3 Hg 0.0000 0.0000 0.2505 [6 per cell]

The following is a DFT calculation (SCAN) of a crystal of EuNi5P3 relaxed with PBEsol.

Computed properties:
Energy relative to the elements, eV/atom: -0.7923
Crystal system: orthorhombic

Lattice parameters (Å, degrees): 3.548 11.545 11.338 90.00 90.00 90.00
Space group Cmcm (No. 63)
Inequivalent atoms, fractional coordinates:
1 Eu 0.000 0.161 0.250 [4 per cell]
2 Ni 0.000 0.000 0.000 [4 per cell]
3 Ni 0.000 0.198 0.568 [8 per cell]
4 Ni 0.000 0.448 0.145 [8 per cell]
5 P 0.000 0.117 0.750 [4 per cell]
6 P 0.000 0.382 0.541 [8 per cell]

The following is a DFT calculation (SCAN) of a crystal of CuRePb2 relaxed with PBEsol.

Computed properties:
ΔE to the lowest computed polymorph, eV per formula unit: 1.39
Energy relative to the elements, eV/atom: 1.0210
Crystal system: orthorhombic

Lattice parameters (Å, degrees): 6.716 6.746 3.330 90.00 90.00 90.00
Space group Cmmm (No. 65)
Inequivalent atoms, fractional coordinates:
1 Cu 0.000 0.000 0.000 [2 per cell]
2 Re 0.000 0.500 0.000 [2 per cell]
3 Pb 0.250 0.250 0.500 [4 per cell]

The following is a DFT calculation (SCAN) of a crystal of InAg4Pt relaxed with PBEsol.

Computed properties:
Energy relative to the elements, eV/atom: 0.1927
Crystal system: cubic

Lattice parameters (Å, degrees): 7.510 7.510 7.510 90.00 90.00 90.00
Space group F-43m (No. 216)
Inequivalent atoms, fractional coordinates:
1 In 0.000 0.000 0.000 [4 per cell]
2 Ag 0.125 0.125 0.375 [16 per cell]
3 Pt 0.250 0.250 0.750 [4 per cell]

The following is a DFT calculation (SCAN) of a crystal of BeIr relaxed with PBEsol.

Computed properties:
Energy relative to the elements, eV/atom: -0.6304
Crystal system: orthorhombic

Lattice parameters (Å, degrees): 2.786 8.324 3.706 90.00 90.00 90.00
Space group Cmcm (No. 63)
Inequivalent atoms, fractional coordinates:
1 Be 0.000 0.080 0.250 [4 per cell]
2 Ir 0.000 0.358 0.250 [4 per cell]

The following is a DFT calculation (SCAN) of a crystal of ZnCr2Fe relaxed with PBEsol.

Computed properties:
Energy relative to the elements, eV/atom: 0.2037
Crystal system: tetragonal

Lattice parameters (Å, degrees): 3.435 3.435 3.858 90.00 90.00 90.00
Space group P4/mmm (No. 123)
Inequivalent atoms, fractional coordinates:
1 Zn 0.000 0.000 0.000 [1 per cell]
2 Cr 0.000 0.500 0.500 [2 per cell]
3 Fe 0.500 0.500 0.000 [1 per cell]

The following is a DFT calculation (SCAN) of a crystal of CrSbPb3 relaxed with PBEsol.

Computed properties:
Formation energy from raw total energies, meV/atom: 907
Crystal system: cubic

Lattice parameters (Å, degrees): 5.748 5.748 5.748 90.00 90.00 90.00
Space group Pm-3m (No. 221)
Inequivalent atoms, fractional coordinates:
1 Cr 0.000 0.000 0.000 [1 per cell]
2 Sb 0.500 0.500 0.500 [1 per cell]
3 Pb 0.000 0.500 0.500 [3 per cell]

The following is a DFT calculation (SCAN) of a crystal of CaCdOs2 relaxed with PBEsol.

Computed properties:
Energy relative to the elements, eV/atom: 0.9110
Crystal system: tetragonal

Lattice parameters (Å, degrees): 3.480 3.480 6.199 90.00 90.00 90.00
Space group P4/mmm (No. 123)
Inequivalent atoms, fractional coordinates:
1 Ca 0.000 0.000 0.000 [1 per cell]
2 Cd 0.000 0.000 0.500 [1 per cell]
3 Os 0.500 0.500 0.301 [2 per cell]

Uncorrected energy values (in eV per atom) by entry order: -39.61, -19.21, -58.44, -37.98, -38.36, -16.90, -55.69, -45.05.
Total moment values (in μB/cell) by entry order: 0.000, 28.306, 0.002, 0.000, 0.001, 2.657, 4.827, 0.845.